First-principles (GGA-PBE) data for a relaxed structure of PrNp2MoN4, as listed in Alexandria.

Unit cell a=3.3836 b=11.8929 c=11.5542 alpha=90.00 beta=90.00 gamma=90.00
Last column: nearest neighbours and their distance in Å.
Space group Cmcm (No. 63)
Unique sites:
1 Pr 0.0000 0.1129 0.2500  6 N 2.51-2.70
2 Np 0.0000 0.3688 0.0476  5 N 2.24-2.47
3 Mo 0.0000 0.1495 0.7500  4 N 2.09-2.11
4 N 0.0000 0.0000 0.0000  4 Np 2.37
5 N 0.0000 0.2674 0.6154  1 Mo 2.09, 1 Np 2.24
6 N 0.0000 0.4569 0.2500  2 Mo 2.11

Output
Its total magnetization is 0.62 μB per atom. As for the density of states at the Fermi level: 39.25 states/eV per cell. As for the formation energy without anion corrections: -0.92 eV/atom. The electronic total energy comes out at -328.68 eV/cell. For the volume, the calculation gives 14.53 Å³/atom.


First-principles (GGA-PBE) data for a relaxed structure of PuNp2MoN4, as listed in Alexandria.

Unit cell a=3.3095 b=11.7537 c=11.5136 alpha=90.00 beta=90.00 gamma=90.00
Last column: nearest neighbours and their distance in Å.
Space group Cmcm (No. 63)
Unique sites:
1 Pu 0.0000 0.1161 0.2500  6 N 2.40-2.58
2 Np 0.0000 0.3688 0.0483  5 N 2.24-2.50
3 Mo 0.0000 0.1465 0.7500  4 N 2.11-2.13
4 N 0.0000 0.0000 0.0000  4 Np 2.33
5 N 0.0000 0.2736 0.6206  1 Mo 2.11, 1 Np 2.24
6 N 0.0000 0.4678 0.2500  2 Mo 2.13

Output
Its total magnetization is 1.24 μB per atom. As for the density of states at the Fermi level: 59.33 states/eV per cell. As for the formation energy without anion corrections: -0.88 eV/atom. The electronic total energy comes out at -365.40 eV/cell. For the volume, the calculation gives 14.00 Å³/atom.


First-principles (GGA-PBE) data for a relaxed structure of Pu2NpMoN4, as listed in Alexandria.

Unit cell a=3.2735 b=11.7737 c=11.6028 alpha=90.00 beta=90.00 gamma=90.00
Last column: nearest neighbours and their distance in Å.
Space group Cmcm (No. 63)
Unique sites:
1 Pu 0.0000 0.1317 0.0476  5 N 2.30-2.54
2 Np 0.0000 0.3800 0.2500  6 N 2.38-2.49
3 Mo 0.0000 0.3569 0.7500  4 N 2.12-2.13
4 N 0.0000 0.0271 0.2500  2 Mo 2.13, 2 Np 2.38
5 N 0.0000 0.2235 0.6275  1 Mo 2.12, 1 Pu 2.30
6 N 0.0000 0.5000 0.0000  4 Pu 2.32

Output
Its total magnetization is 1.37 μB per atom. As for the density of states at the Fermi level: 56.18 states/eV per cell. As for the formation energy without anion corrections: -0.87 eV/atom. The electronic total energy comes out at -370.77 eV/cell. For the volume, the calculation gives 13.97 Å³/atom.


First-principles (GGA-PBE) data for a relaxed structure of SrNp2MoN4, as listed in Alexandria.

Unit cell a=3.4449 b=11.9033 c=12.0000 alpha=90.00 beta=90.00 gamma=90.00
Last column: nearest neighbours and their distance in Å.
Space group Cmcm (No. 63)
Unique sites:
1 Sr 0.0000 0.0872 0.2500  2 N 2.59
2 Np 0.0000 0.3693 0.0473  6 N 2.25-2.52
3 Mo 0.0000 0.1763 0.7500  4 N 2.00-2.10
4 N 0.0000 0.0000 0.0000  4 Np 2.39
5 N 0.0000 0.2572 0.6040  1 Mo 2.00
6 N 0.0000 0.4249 0.2500  2 Mo 2.10

Output
Its total magnetization is 0.71 μB per atom. As for the density of states at the Fermi level: 50.09 states/eV per cell. As for the formation energy without anion corrections: -0.81 eV/atom. The electronic total energy comes out at -312.86 eV/cell. For the volume, the calculation gives 15.38 Å³/atom.


First-principles (GGA-PBE) data for a relaxed structure of SrNpMo2N6, as listed in Alexandria.

Unit cell a=11.3130 b=10.1280 c=6.5313 alpha=90.00 beta=113.01 gamma=90.00
Last column: nearest neighbours and their distance in Å.
Space group C2/c (No. 15)
Unique sites:
1 Sr 0.0000 0.0955 0.2500  6 N 2.51-2.71
2 Np 0.0000 0.2860 0.7500  4 N 2.19-2.28
3 Mo 0.2063 0.4186 0.1885  4 N 1.82-1.95
4 N 0.1068 0.2705 0.1098  1 Mo 1.82
5 N 0.1209 0.1222 0.6889  1 Mo 1.85
6 N 0.1529 0.4750 0.8860  2 Mo 1.91-1.95

Output
Its total magnetization is 0.30 μB per atom. As for the density of states at the Fermi level: 34.32 states/eV per cell. As for the formation energy without anion corrections: -0.61 eV/atom. The electronic total energy comes out at -369.46 eV/cell. For the volume, the calculation gives 17.22 Å³/atom.


First-principles (GGA-PBE) data for a relaxed structure of Np3Ta2MoN6, as listed in Alexandria.

Unit cell a=5.6681 b=9.7805 c=5.6219 alpha=90.00 beta=109.49 gamma=90.00
Last column: nearest neighbours and their distance in Å.
Space group C2/m (No. 12)
Unique sites:
1 Np 0.0000 0.0000 0.0000  6 N 2.38-2.39
2 Np 0.0000 0.3374 0.0000  6 N 2.39-2.40
3 Ta 0.0000 0.1684 0.5000  6 N 2.21-2.22
4 Mo 0.0000 0.5000 0.5000  6 N 2.24-2.25
5 N 0.2348 0.0000 0.7192  2 Ta 2.22, 1 Mo 2.24, 3 Np 2.38-2.39
6 N 0.2441 0.3317 0.7249  2 Ta 2.21-2.22, 1 Mo 2.25, 3 Np 2.39-2.40

Output
Its total magnetization is 0.74 μB per atom. As for the density of states at the Fermi level: 35.54 states/eV per cell. As for the formation energy without anion corrections: -1.02 eV/atom. The electronic total energy comes out at -271.12 eV/cell. For the volume, the calculation gives 12.24 Å³/atom.


Look up the electronic total energy of the second one. -365.40 eV/cell


Which of these has the lowest formation energy without anion corrections? Np3Ta2MoN6